1.
Compound: Tl2ReCl
Source: Alexandria via LeMat-Bulk
Functional: PBE
Structure: optimized geometry

Cell lengths 3.100, 3.100, 9.672 Å; angles 90.00, 90.00, 90.00 degrees
Sites, in units of the cell vectors:
Tl1 0.000 0.000 0.000
Tl2 0.500 0.500 0.309
Re1 0.500 0.500 0.766
Cl1 0.000 0.000 0.640

Computed properties:
- SG: P4mm, No. 99
- Crystal system: tetragonal
- E_form (uncorrected): 0.68 eV per atom
- Total moment: 0.000 μB per cell
- VASP energy: -4.0789 eV per atom



2.
Compound: Sr3Ge5
Source: Alexandria via LeMat-Bulk
Functional: PBE
Structure: optimized geometry

Cell lengths 12.011, 8.021, 9.983 Å; angles 82.92, 41.50, 55.57 degrees
Sites, in units of the cell vectors:
Sr1 0.000 0.000 0.000
Sr2 0.250 0.250 0.250
Sr3 0.315 0.684 0.346
Sr4 0.595 0.904 0.566
Sr5 0.684 0.315 0.655
Sr6 0.904 0.595 0.935
Ge1 0.006 0.324 0.165
Ge2 0.085 0.745 0.244
Ge3 0.187 0.483 0.974
Ge4 0.276 0.895 0.063
Ge5 0.324 0.006 0.505
Ge6 0.432 0.432 0.568
Ge7 0.483 0.187 0.355
Ge8 0.682 0.682 0.818
Ge9 0.745 0.085 0.926
Ge10 0.895 0.276 0.767

Computed properties:
- SG: Fdd2, No. 43
- Crystal system: orthorhombic
- Total moment: 0.000 μB per cell
- VASP energy: -4.0204 eV per atom